[1]
The following is a PBE calculation of a relaxed TlTcW2 crystal, from the Alexandria database.

a b c (Å): 2.929 2.929 8.160
angles (deg): 90.00 90.00 90.00
Positions (direct):
Tl: 0.000 0.000 0.000
Tc: 0.000 0.000 0.500
W: 0.500 0.500 0.287
W: 0.500 0.500 0.713

Results
E_form = 0.5889 eV/atom


[2]
The following is a PBE calculation of a relaxed GaFe2H crystal, from the Alexandria database.

a b c (Å): 2.722 2.722 18.195
angles (deg): 90.00 90.00 120.00
Positions (direct):
Ga: 0.000 0.000 0.000
Ga: 0.333 0.667 0.667
Ga: 0.667 0.333 0.333
Fe: 0.000 0.000 0.222
Fe: 0.000 0.000 0.778
Fe: 0.333 0.667 0.445
Fe: 0.333 0.667 0.888
Fe: 0.667 0.333 0.112
Fe: 0.667 0.333 0.555
H: 0.000 0.000 0.500
H: 0.333 0.667 0.167
H: 0.667 0.333 0.833


Number 1: energy above the lowest structure with this stoichiometry 40 meV/atom, M_tot 0.0 Bohr magnetons per cell, Fermi-level density of states 3.75 states/eV/f.u.. Number 2: energy above the lowest structure with this stoichiometry 33 meV/atom, M_tot 11.1 Bohr magnetons per cell, Fermi-level density of states 1.82 states/eV/f.u..